# Ba2CoMoO6 PBE with a Hubbard U optimized geometry
# - DFT total energy (eV/atom) = -6.63
data_Ba2CoMoO6
_chemical_formula_sum 'Ba2 Co1 Mo1 O6'
_cell_length_a 5.787
_cell_length_b 5.787
_cell_length_c 5.787
_cell_angle_alpha 60.00
_cell_angle_beta 60.00
_cell_angle_gamma 60.00
_symmetry_space_group_name_H-M 'P 1'
_symmetry_Int_Tables_number 1
loop_
_symmetry_equiv_pos_as_xyz
'x,y,z'
loop_
_atom_site_label
_atom_site_fract_x
_atom_site_fract_y
_atom_site_fract_z
Ba1 0.250 0.250 0.250
Ba2 0.750 0.750 0.750
Co1 0.000 0.000 0.000
Mo1 0.500 0.500 0.500
O1 0.260 0.260 0.740
O2 0.260 0.740 0.260
O3 0.260 0.740 0.740
O4 0.740 0.260 0.260
O5 0.740 0.260 0.740
O6 0.740 0.740 0.260